Na2TiVO5 | Alexandria | PBE with a Hubbard U | relaxed; SG = Cmc2_1, No. 36; total magnetic moment = 1.00 μB per formula unit; DFT total energy = -7.03 eV/atom
1.0
3.109 0.000 0.000
-1.554 6.175 0.000
0.000 0.000 11.542
O V Na Ti
10 2 4 2
direct
0.940 0.879 0.530
0.060 0.121 0.030
0.694 0.389 0.921
0.504 0.008 0.297
0.621 0.242 0.500
0.734 0.468 0.141
0.496 0.992 0.797
0.379 0.758 0.000
0.266 0.532 0.641
0.306 0.611 0.421
0.534 0.067 0.940
0.466 0.933 0.440
0.923 0.845 0.169
0.077 0.155 0.669
0.162 0.324 0.291
0.838 0.676 0.791
0.236 0.473 0.033
0.764 0.527 0.533